Entry one
DFT (PBE) results for crystalline Nd4Sm6Tm at its relaxed geometry.

a = 8.6690 Å, b = 8.6690 Å, c = 8.6690 Å
α = 127.74°, β = 127.74°, γ = 77.05°
Last column: nearest neighbours and their distance in Å.
Positions (direct):
Nd: 0.2468 0.2468 0.6519  3 Sm 3.02-3.23
Nd: 0.4052 0.7532 0.0000  3 Sm 3.02-3.23
Nd: 0.5948 0.5948 0.3481  3 Sm 3.02-3.23
Nd: 0.7532 0.4052 0.0000  3 Sm 3.02-3.23
Sm: 0.0000 0.5000 0.5000  4 Nd 3.02
Sm: 0.0400 0.5869 0.0000  1 Nd 3.23, 1 Tm 3.52
Sm: 0.4131 0.4131 0.4531  1 Nd 3.23, 1 Tm 3.52
Sm: 0.5000 0.0000 0.5000  4 Nd 3.02
Sm: 0.5869 0.0400 0.0000  1 Nd 3.23, 1 Tm 3.52
Sm: 0.9600 0.9600 0.5469  1 Nd 3.23, 1 Tm 3.52
Tm: 0.0000 0.0000 0.0000  8 Sm 3.52-3.82, 4 Nd 3.68

Output
Total magnetic moment   0.0 μB per cell
SG   No. 121

Entry two
DFT (PBE) results for crystalline Nd4Sm6Tm at its relaxed geometry.

a = 5.7062 Å, b = 5.7062 Å, c = 25.8159 Å
α = 90.00°, β = 90.00°, γ = 117.46°
Last column: nearest neighbours and their distance in Å.
Positions (direct):
Nd: 0.0503 0.9497 0.6231  6 Sm 3.21-3.58, 1 Nd 3.58
Nd: 0.0503 0.9497 0.8769  6 Sm 3.21-3.58, 1 Nd 3.58
Nd: 0.3536 0.6464 0.5449  7 Sm 3.49-3.77, 2 Nd 3.58-3.68
Nd: 0.3536 0.6464 0.9551  7 Sm 3.49-3.77, 2 Nd 3.58-3.68
Nd: 0.6464 0.3536 0.0449  7 Sm 3.49-3.77, 2 Nd 3.58-3.68
Nd: 0.6464 0.3536 0.4551  7 Sm 3.49-3.77, 2 Nd 3.58-3.68
Nd: 0.9497 0.0503 0.1231  6 Sm 3.21-3.58, 1 Nd 3.58
Nd: 0.9497 0.0503 0.3769  6 Sm 3.21-3.58, 1 Nd 3.58
Sm: 0.0000 0.0000 0.0000  6 Nd 3.21-3.49
Sm: 0.0000 0.0000 0.5000  6 Nd 3.21-3.49
Sm: 0.0523 0.9477 0.7500  2 Nd 3.28, 3 Tm 3.30-3.36, 2 Sm 3.63
Sm: 0.2958 0.7042 0.1063  5 Nd 3.35-3.66, 1 Tm 3.71, 1 Sm 3.74
Sm: 0.2958 0.7042 0.3937  5 Nd 3.35-3.66, 1 Tm 3.71, 1 Sm 3.74
Sm: 0.3804 0.6196 0.6839  5 Sm 3.41-3.81, 4 Nd 3.58-3.74, 3 Tm 3.68-3.78
Sm: 0.3804 0.6196 0.8161  5 Sm 3.41-3.81, 4 Nd 3.58-3.74, 3 Tm 3.68-3.78
Sm: 0.6196 0.3804 0.1839  5 Sm 3.41-3.81, 4 Nd 3.58-3.74, 3 Tm 3.68-3.78
Sm: 0.6196 0.3804 0.3161  5 Sm 3.41-3.81, 4 Nd 3.58-3.74, 3 Tm 3.68-3.78
Sm: 0.7042 0.2958 0.6063  5 Nd 3.35-3.66, 1 Tm 3.71, 1 Sm 3.74
Sm: 0.7042 0.2958 0.8937  5 Nd 3.35-3.66, 1 Tm 3.71, 1 Sm 3.74
Sm: 0.9477 0.0523 0.2500  2 Nd 3.28, 3 Tm 3.30-3.36, 2 Sm 3.63
Tm: 0.2857 0.7143 0.2500  5 Sm 3.30-3.68
Tm: 0.7143 0.2857 0.7500  5 Sm 3.30-3.68

Output
Total magnetic moment   0.0 μB per cell
SG   No. 63

Energies in eV/atom, measured from the most stable structure: entry one 0.276; entry two 0.000.